An optimized crystal structure of La4SmY3. Source: Alexandria, functional PBE.

abc: 5.1889 10.3397 10.3738
angles: 90.00 90.00 90.00
With the nearest neighbours (Å) after each atom.
Element x y z (fractional)
Sm (0.0644, 0.3813, 0.0000)  8 Y 3.57-3.67, 4 La 3.70
Y (0.0644, 0.6185, 0.7500)  5 Y 3.57-3.67, 3 Sm 3.57-3.67, 4 La 3.70-3.71
La (0.0644, 0.1255, 0.2494)  8 La 3.66-3.68, 1 Sm 3.70, 3 Y 3.71
Y (0.5644, 0.3815, 0.7500)  5 Y 3.57-3.67, 3 Sm 3.57-3.67, 4 La 3.70-3.71
Y (0.5644, 0.3815, 0.2500)  5 Y 3.57-3.67, 3 Sm 3.57-3.67, 4 La 3.70-3.71
Y (0.0644, 0.3811, 0.5000)  6 Y 3.57-3.67, 2 Sm 3.57, 4 La 3.70-3.71
La (0.0644, 0.8738, 0.0000)  8 La 3.67-3.68, 4 Y 3.70
La (0.0644, 0.8734, 0.5000)  8 La 3.66-3.68, 2 Sm 3.70, 2 Y 3.70
La (0.5644, 0.1262, 0.5000)  8 La 3.67-3.68, 4 Y 3.70
La (0.5644, 0.1266, 0.0000)  8 La 3.66-3.68, 2 Sm 3.70, 2 Y 3.70
La (0.0644, 0.1255, 0.7506)  8 La 3.66-3.68, 1 Sm 3.70, 3 Y 3.71
Y (0.0644, 0.6185, 0.2500)  5 Y 3.57-3.67, 3 Sm 3.57-3.67, 4 La 3.70-3.71
Sm (0.5644, 0.6187, 0.5000)  8 Y 3.57-3.67, 4 La 3.70
Y (0.5644, 0.6189, 0.0000)  6 Y 3.57-3.67, 2 Sm 3.57, 4 La 3.70-3.71
La (0.5644, 0.8745, 0.2506)  8 La 3.66-3.68, 1 Sm 3.70, 3 Y 3.71
La (0.5644, 0.8745, 0.7494)  8 La 3.66-3.68, 1 Sm 3.70, 3 Y 3.71

## Properties
- DFT formation energy (eV per atom) = 0.024
- energy relative to the lowest polymorph listed for this composition (meV per atom) = 0.0
- SG = Pmmn